Entry from the Alexandria database: a relaxed Ce3Sm4ErSe8 crystal (PBE-GGA).

Computed properties:
formation energy (no corrections)	-2790	kJ/mol of formula units
calculated volume	25.583	A^3/atom

a = 8.3387 Å, b = 8.3387 Å, c = 20.3922 Å
α = 90.00°, β = 90.00°, γ = 120.00°
Space group R-3m (No. 166, hexagonal axes)
Inequivalent atoms, fractional coordinates:
Ce 0.0000 0.5000 0.0000 [9 per cell]
Sm 0.0000 0.0000 0.5000 [3 per cell]
Sm 0.0000 0.5000 0.5000 [9 per cell]
Er 0.0000 0.0000 0.0000 [3 per cell]
Se 0.0000 0.0000 0.2491 [6 per cell]
Se 0.0068 0.5034 0.7490 [18 per cell]


Entry from the Alexandria database: a relaxed Tb3NdEr5 crystal (PBE-GGA).

Computed properties:
E above lowest polymorph	0	kJ/mol of formula units
calculated formation energy	0.175	eV per atom
calculated volume	32.248	A^3/atom

a = 16.282 Å, b = 6.675 Å, c = 11.279 Å
α = 90.00°, β = 108.71°, γ = 90.00°
Space group C2/c (No. 15)
Inequivalent atoms, fractional coordinates:
Tb 0.000 0.000 0.000 [4 per cell]
Tb 0.239 0.376 0.355 [8 per cell]
Nd 0.000 0.227 0.250 [4 per cell]
Er 0.000 0.319 0.750 [4 per cell]
Er 0.108 0.496 0.546 [8 per cell]
Er 0.176 0.122 0.875 [8 per cell]


Entry from the Alexandria database: a relaxed LiTbErCu crystal (PBE-GGA).

Computed properties:
calculated formation energy	-0.039	eV per atom
calculated volume	22.220	A^3/atom

a = 7.084 Å, b = 7.084 Å, c = 7.084 Å
α = 90.00°, β = 90.00°, γ = 90.00°
Space group F-43m (No. 216)
Inequivalent atoms, fractional coordinates:
Li 0.000 0.000 0.000 [4 per cell]
Tb 0.250 0.250 0.250 [4 per cell]
Er 0.250 0.250 0.750 [4 per cell]
Cu 0.000 0.000 0.500 [4 per cell]